Record 1
DFT (GGA-PBE) results for a relaxed structure of NdTm5Bi6.

abc: 7.7335 7.7325 7.7334
angles: 60.00 80.39 70.49
With the nearest neighbours (Å) after each atom.
Positions (direct):
1 Nd 0.0000 0.0000 0.0000  6 Bi 3.21-3.22
2 Tm 0.5000 0.1630 0.6740  6 Bi 3.12-3.16
3 Tm 0.0000 0.3319 0.3361  6 Bi 3.15-3.16
4 Tm 0.5000 0.5000 0.0000  6 Bi 3.10-3.16
5 Tm 0.0000 0.6681 0.6639  6 Bi 3.15-3.16
6 Tm 0.5000 0.8370 0.3260  6 Bi 3.12-3.16
7 Bi 0.7447 0.0854 0.3402  5 Tm 3.12-3.16, 1 Nd 3.22
8 Bi 0.2553 0.5744 0.3402  5 Tm 3.12-3.16, 1 Nd 3.22
9 Bi 0.2515 0.2572 0.0000  5 Tm 3.10-3.15, 1 Nd 3.21
10 Bi 0.7485 0.7428 0.0000  5 Tm 3.10-3.15, 1 Nd 3.21
11 Bi 0.7447 0.4256 0.6598  5 Tm 3.12-3.16, 1 Nd 3.22
12 Bi 0.2553 0.9146 0.6598  5 Tm 3.12-3.16, 1 Nd 3.22

Values from the calculation:
SG = C2/m (12)
crystal system = monoclinic
volume = 377.51 Å³ per cell
ΔE_f = -0.80 eV/atom



Record 2
DFT (GGA-PBE) results for a relaxed structure of La2CdP2N6.

abc: 6.8613 5.5187 5.7180
angles: 119.57 89.38 61.62
With the nearest neighbours (Å) after each atom.
Positions (direct):
1 La 0.8064 0.4940 0.7845  6 N 2.50-2.77
2 La 0.1936 0.5060 0.2155  6 N 2.50-2.77
3 Cd 0.5000 0.0000 0.5000  6 N 2.30-2.49
4 P 0.2423 0.8063 0.8458  3 N 1.57-1.60
5 P 0.7577 0.1937 0.1542  3 N 1.57-1.60
6 N 0.3709 0.8760 0.0723  1 P 1.57
7 N 0.8526 0.4271 0.2203  1 P 1.60
8 N 0.2287 0.9249 0.6383  1 P 1.60
9 N 0.1474 0.5729 0.7797  1 P 1.60
10 N 0.7713 0.0751 0.3617  1 P 1.60
11 N 0.6291 0.1240 0.9277  1 P 1.57

Values from the calculation:
SG = P-1 (2)
crystal system = triclinic
volume = 156.92 Å³ per cell
formation energy (no corrections) = -0.715 eV per atom



Record 3
DFT (GGA-PBE) results for a relaxed structure of AlCrTc3.

abc: 4.3693 4.3693 4.3693
angles: 90.00 90.00 90.00
With the nearest neighbours (Å) after each atom.
Positions (direct):
1 Cr 0.5000 0.5000 0.5000  12 Tc 3.09
2 Tc 0.0000 0.5000 0.0000  2 Al 2.18
3 Tc 0.0000 0.0000 0.5000  2 Al 2.18
4 Tc 0.5000 0.0000 0.0000  2 Al 2.18
5 Al 0.0000 0.0000 0.0000  6 Tc 2.18

Values from the calculation:
SG = Pm-3m (221)
crystal system = cubic
volume = 83.41 Å³ per cell
energy relative to the lowest polymorph listed for this composition = 512 meV per atom
ΔE_f = 1.57 eV/atom



Record 4
DFT (GGA-PBE) results for a relaxed structure of Y2Tm2Th.

abc: 8.6092 6.3524 6.3524
angles: 92.78 102.43 102.43
With the nearest neighbours (Å) after each atom.
Positions (direct):
1 Y 0.1371 0.2545 0.0567  3 Tm 3.28-3.65, 3 Th 3.33-3.39, 1 Y 3.51
2 Y 0.8629 0.7455 0.9433  3 Tm 3.28-3.65, 3 Th 3.33-3.39, 1 Y 3.51
3 Y 0.3629 0.9433 0.7455  3 Tm 3.28-3.65, 3 Th 3.33-3.39, 1 Y 3.51
4 Y 0.6371 0.0567 0.2545  3 Tm 3.28-3.65, 3 Th 3.33-3.39, 1 Y 3.51
5 Tm 0.0000 0.5000 0.5000  2 Tm 3.18, 2 Th 3.45
6 Tm 0.0000 0.0000 0.5000  2 Tm 3.18, 2 Y 3.28, 2 Th 3.54
7 Tm 0.5000 0.5000 0.5000  2 Tm 3.18, 2 Th 3.45
8 Tm 0.5000 0.5000 0.0000  2 Tm 3.18, 2 Y 3.28, 2 Th 3.54
9 Th 0.2500 0.7935 0.2065  6 Y 3.33-3.39, 4 Tm 3.45-3.54
10 Th 0.7500 0.2065 0.7935  6 Y 3.33-3.39, 4 Tm 3.45-3.54

Values from the calculation:
SG = C2/c (15)
crystal system = monoclinic
volume = 329.67 Å³ per cell
energy relative to the lowest polymorph listed for this composition = 128 meV per atom
ΔE_f = 0.28 eV/atom